(1)
DFT (GGA-PBE) results for a relaxed La2AgPt crystal.

```
data_La2AgPt
_chemical_formula_sum 'La2 Ag1 Pt1'
_cell_length_a 3.692
_cell_length_b 3.741
_cell_length_c 7.593
_cell_angle_alpha 90.00
_cell_angle_beta 90.06
_cell_angle_gamma 90.00
_space_group_name_H-M_alt 'P 1 2/m 1'
_space_group_IT_number 10
loop_
_space_group_symop_operation_xyz
'x,y,z'
'-x,-y,-z'
'-x,y,-z'
'x,-y,z'
loop_
_atom_site_label
_atom_site_fract_x
_atom_site_fract_y
_atom_site_fract_z
La1 0.002 0.000 0.270
Ag1 0.500 0.500 0.000
Pt1 0.500 0.500 0.500
```

Formation energy from the elements = -0.68 eV/atom

=====

(2)
DFT (GGA-PBE) results for a relaxed La3Si2AgPt9 crystal.

```
data_La3Si2AgPt9
_chemical_formula_sum 'La3 Si2 Ag1 Pt9'
_cell_length_a 5.7636
_cell_length_b 5.7636
_cell_length_c 11.1037
_cell_angle_alpha 90.00
_cell_angle_beta 90.00
_cell_angle_gamma 120.00
_space_group_name_H-M_alt 'P -3 m 1'
_space_group_IT_number 164
_space_group_name_Hall '-P 3 2"'
loop_
_atom_site_label
_atom_site_fract_x
_atom_site_fract_y
_atom_site_fract_z
La1 0.0000 0.0000 0.0000
La2 0.3333 0.6667 0.6062
Si1 0.3333 0.6667 0.1588
Ag1 0.0000 0.0000 0.5000
Pt1 0.0000 0.5000 0.0000
Pt2 0.1611 0.3223 0.3020
```

Uncorrected formation energy = -0.795 eV/atom

=====

(3)
DFT (GGA-PBE) results for a relaxed La2Si4AgPt3 crystal.

```
data_La2Si4AgPt3
_chemical_formula_sum 'La2 Si4 Ag1 Pt3'
_cell_length_a 4.334
_cell_length_b 4.334
_cell_length_c 10.007
_cell_angle_alpha 90.00
_cell_angle_beta 90.00
_cell_angle_gamma 90.00
_space_group_name_H-M_alt 'P -4 m 2'
_space_group_IT_number 115
loop_
_space_group_symop_operation_xyz
'x,y,z'
'y,-x,-z'
'-x,-y,z'
'-y,x,-z'
'-x,y,z'
'-y,-x,-z'
'x,-y,z'
'y,x,-z'
loop_
_atom_site_label
_atom_site_fract_x
_atom_site_fract_y
_atom_site_fract_z
La1 0.000 0.500 0.245
Si1 0.000 0.000 0.000
Si2 0.000 0.500 0.639
Si3 0.500 0.500 0.000
Ag1 0.000 0.000 0.500
Pt1 0.000 0.500 0.884
Pt2 0.500 0.500 0.500
```

Uncorrected formation energy = -0.975 eV/atom

=====

(4)
DFT (GGA-PBE) results for a relaxed LaSi2AgPt5 crystal.

```
data_LaSi2AgPt5
_chemical_formula_sum 'La1 Si2 Ag1 Pt5'
_cell_length_a 4.076
_cell_length_b 4.076
_cell_length_c 10.964
_cell_angle_alpha 90.00
_cell_angle_beta 90.00
_cell_angle_gamma 90.00
_space_group_name_H-M_alt 'P 4/m m m'
_space_group_IT_number 123
_space_group_name_Hall '-P 4 2'
loop_
_atom_site_label
_atom_site_fract_x
_atom_site_fract_y
_atom_site_fract_z
La1 0.000 0.000 0.000
Si1 0.500 0.500 0.216
Ag1 0.000 0.000 0.500
Pt1 0.000 0.500 0.322
Pt2 0.500 0.500 0.000
```

Uncorrected formation energy = -0.609 eV/atom

=====

(5)
DFT (GGA-PBE) results for a relaxed La2Si3AgPt12 crystal.

```
data_La2Si3AgPt12
_chemical_formula_sum 'La6 Si9 Ag3 Pt36'
_cell_length_a 8.3405
_cell_length_b 8.3405
_cell_length_c 17.9844
_cell_angle_alpha 90.00
_cell_angle_beta 90.00
_cell_angle_gamma 120.00
_space_group_name_H-M_alt 'R -3 m'
_space_group_IT_number 166
_space_group_name_Hall '-R 3 2"'
loop_
_atom_site_label
_atom_site_fract_x
_atom_site_fract_y
_atom_site_fract_z
La1 0.0000 0.0000 0.1123
Si1 0.0000 0.5000 0.0000
Ag1 0.0000 0.0000 0.5000
Pt1 0.0133 0.5067 0.8713
Pt2 0.0303 0.5152 0.3676
```

Uncorrected formation energy = -0.450 eV/atom

=====

(6)
DFT (GGA-PBE) results for a relaxed La2AgSn3Pt4 crystal.

```
data_La2AgSn3Pt4
_chemical_formula_sum 'La2 Ag1 Sn3 Pt4'
_cell_length_a 4.560
_cell_length_b 4.560
_cell_length_c 10.956
_cell_angle_alpha 90.00
_cell_angle_beta 90.00
_cell_angle_gamma 90.00
_space_group_name_H-M_alt 'P -4 m 2'
_space_group_IT_number 115
loop_
_space_group_symop_operation_xyz
'x,y,z'
'y,-x,-z'
'-x,-y,z'
'-y,x,-z'
'-x,y,z'
'-y,-x,-z'
'x,-y,z'
'y,x,-z'
loop_
_atom_site_label
_atom_site_fract_x
_atom_site_fract_y
_atom_site_fract_z
La1 0.000 0.500 0.245
Ag1 0.500 0.500 0.000
Sn1 0.000 0.000 0.000
Sn2 0.000 0.500 0.627
Pt1 0.000 0.000 0.500
Pt2 0.000 0.500 0.863
Pt3 0.500 0.500 0.500
```

Formation energy from the elements = -0.80 eV/atom

=====

(7)
DFT (GGA-PBE) results for a relaxed La2AgSn4Pt3 crystal.

```
data_La2AgSn4Pt3
_chemical_formula_sum 'La2 Ag1 Sn4 Pt3'
_cell_length_a 4.649
_cell_length_b 4.649
_cell_length_c 10.851
_cell_angle_alpha 90.00
_cell_angle_beta 90.00
_cell_angle_gamma 90.00
_space_group_name_H-M_alt 'P -4 m 2'
_space_group_IT_number 115
loop_
_space_group_symop_operation_xyz
'x,y,z'
'y,-x,-z'
'-x,-y,z'
'-y,x,-z'
'-x,y,z'
'-y,-x,-z'
'x,-y,z'
'y,x,-z'
loop_
_atom_site_label
_atom_site_fract_x
_atom_site_fract_y
_atom_site_fract_z
La1 0.000 0.500 0.245
Ag1 0.500 0.500 0.000
Sn1 0.000 0.000 0.500
Sn2 0.000 0.500 0.866
Sn3 0.500 0.500 0.500
Pt1 0.000 0.000 0.000
Pt2 0.000 0.500 0.625
```

Formation energy from the elements = -0.81 eV/atom

=====

(8)
DFT (GGA-PBE) results for a relaxed SrLaAgPt crystal.

```
data_SrLaAgPt
_chemical_formula_sum 'Sr4 La4 Ag4 Pt4'
_cell_length_a 7.485
_cell_length_b 7.485
_cell_length_c 7.485
_cell_angle_alpha 90.00
_cell_angle_beta 90.00
_cell_angle_gamma 90.00
_space_group_name_H-M_alt 'F -4 3 m'
_space_group_IT_number 216
_space_group_name_Hall 'F -4 2 3'
loop_
_atom_site_label
_atom_site_fract_x
_atom_site_fract_y
_atom_site_fract_z
Sr1 0.000 0.000 0.000
La1 0.000 0.000 0.500
Ag1 0.250 0.250 0.250
Pt1 0.250 0.250 0.750
```

Formation energy from the elements = -0.59 eV/atom
Energy above the most stable polymorph in this dataset = 70 meV/atom

=====

In order of appearance, VASP energy = -5.37 -6.32 -6.23 -6.03 -6.09 -5.69 -5.49 -4.47 eV per atom.
In order of appearance, calculated volume = 26.22 21.30 18.80 20.24 20.06 22.78 23.45 26.21 Å³/atom.